Entry 1:
VASP calculation (GGA-PBE) on an optimized crystal structure of K2SrW.

```
K2SrW
1.0
-4.973 3.556 0.537
-3.567 -4.901 -0.961
4.180 -0.102 4.493
K Sr W
2 1 1
Direct
0.000 0.000 0.000
0.750 0.250 0.500
0.500 0.500 0.000
0.250 0.750 0.500
```

Output
- Calculated total energy: -2.81 eV per atom
- Formation energy from the elements: 1397 meV/atom
- Excess energy over the best structure of this formula in the dataset: 0.82 eV/f.u.



Entry 2:
VASP calculation (GGA-PBE) on an optimized crystal structure of K2SrW.

```
K2SrW
1.0
-6.093 -0.171 1.200
-2.933 5.129 1.920
-3.992 2.894 -3.779
Sr K W
1 2 1
Direct
0.000 0.000 0.000
0.250 0.250 0.250
0.750 0.750 0.750
0.500 0.500 0.500
```

Output
- Calculated total energy: -2.66 eV per atom
- Formation energy from the elements: 1544 meV/atom
- Excess energy over the best structure of this formula in the dataset: 1.41 eV/f.u.



Entry 3:
VASP calculation (GGA-PBE) on an optimized crystal structure of KSr3W.

```
KSr3W
1.0
5.845 0.000 0.000
0.000 5.845 0.000
0.000 0.000 5.845
Sr K W
3 1 1
Direct
0.000 0.500 0.000
0.000 0.000 0.500
0.500 0.000 0.000
0.000 0.000 0.000
0.500 0.500 0.500
```

Output
- Calculated total energy: -1.73 eV per atom
- Formation energy from the elements: 2091 meV/atom
- Excess energy over the best structure of this formula in the dataset: 6.01 eV/f.u.



Entry 4:
VASP calculation (GGA-PBE) on an optimized crystal structure of K2SrW.

```
K2SrW
1.0
-0.832 3.603 0.555
-6.036 -1.262 -0.855
-0.724 -1.234 6.930
K Sr W
2 1 1
Direct
0.000 0.000 0.974
0.000 0.000 0.526
0.500 0.500 0.250
0.500 0.500 0.750
```

Output
- Calculated total energy: -2.70 eV per atom
- Formation energy from the elements: 1504 meV/atom
- Excess energy over the best structure of this formula in the dataset: 1.25 eV/f.u.



The lowest formation energy from the elements belongs to which entry?
number 1